Computed, not measured: crystalline Tc3PN at its relaxed geometry at the GGA-PBEsol level of DFT.

Results
- crystal system = cubic
- formation energy without anion corrections (eV per atom) = 0.11

The structure in POSCAR format:
```
Tc3PN
1.0
3.957 0.000 0.000
0.000 3.957 0.000
0.000 0.000 3.957
Tc P N
3 1 1
Cartesian
0.000 0.000 1.978 Tc
0.000 1.978 0.000 Tc
1.978 0.000 0.000 Tc
1.978 1.978 1.978 P
0.000 0.000 0.000 N
```

=====

Computed, not measured: crystalline Tc2PN at its relaxed geometry at the GGA-PBEsol level of DFT.

Results
- crystal system = tetragonal
- formation energy without anion corrections (eV per atom) = -0.08

The structure in POSCAR format:
```
Tc2PN
1.0
-2.468 2.468 4.650
2.468 -2.468 4.650
2.468 2.468 -4.650
Tc P N
4 2 2
Cartesian
3.703 0.954 -1.162 Tc
0.954 1.234 1.162 Tc
-1.234 1.514 3.487 Tc
1.514 1.234 5.812 Tc
2.468 0.000 2.325 P
0.000 0.000 4.650 P
0.000 0.000 0.000 N
0.000 2.468 2.325 N
```

=====

Computed, not measured: crystalline Te2PN2 at its relaxed geometry at the GGA-PBEsol level of DFT.

Results
- crystal system = tetragonal
- formation energy without anion corrections (eV per atom) = 1.45

The structure in POSCAR format:
```
Te2PN2
1.0
3.904 0.000 0.000
0.000 3.904 0.000
0.000 0.000 6.565
Te P N
2 1 2
Cartesian
0.000 0.000 0.000 Te
0.000 0.000 3.283 Te
1.952 1.952 0.000 P
0.000 1.952 3.283 N
1.952 0.000 3.283 N
```

=====

Computed, not measured: crystalline Te2PWN at its relaxed geometry at the GGA-PBEsol level of DFT.

Results
- crystal system = tetragonal
- formation energy without anion corrections (eV per atom) = 0.54

The structure in POSCAR format:
```
Te2PWN
1.0
5.304 0.000 0.000
0.000 5.304 0.000
0.000 0.000 3.764
Te P W N
2 1 1 1
Cartesian
0.000 2.652 0.000 Te
2.652 0.000 0.000 Te
0.000 0.000 1.882 P
2.652 2.652 0.000 W
2.652 2.652 1.882 N
```

=====

Computed, not measured: crystalline YTe2PN at its relaxed geometry at the GGA-PBEsol level of DFT.

Results
- crystal system = tetragonal
- formation energy without anion corrections (eV per atom) = 0.69

The structure in POSCAR format:
```
YTe2PN
1.0
5.817 0.000 0.000
0.000 5.817 0.000
0.000 0.000 4.008
Y Te P N
1 2 1 1
Cartesian
0.000 0.000 0.000 Y
0.000 2.908 0.000 Te
2.908 0.000 0.000 Te
2.908 2.908 2.004 P
0.000 0.000 2.004 N
```

=====

Computed, not measured: crystalline YTePN2 at its relaxed geometry at the GGA-PBEsol level of DFT.

Results
- crystal system = tetragonal
- formation energy without anion corrections (eV per atom) = 1.07

The structure in POSCAR format:
```
YTePN2
1.0
4.236 0.000 0.000
0.000 4.236 0.000
0.000 0.000 6.331
Y Te P N
1 1 1 2
Cartesian
0.000 0.000 0.000 Y
0.000 0.000 3.166 Te
2.118 2.118 3.166 P
0.000 2.118 0.000 N
2.118 0.000 0.000 N
```

=====

Computed, not measured: crystalline Tl3PN at its relaxed geometry at the GGA-PBEsol level of DFT.

Results
- crystal system = cubic
- formation energy without anion corrections (eV per atom) = 1.35

The structure in POSCAR format:
```
Tl3PN
1.0
5.390 0.000 0.000
0.000 5.390 0.000
0.000 0.000 5.390
Tl P N
3 1 1
Cartesian
0.000 0.000 2.695 Tl
0.000 2.695 0.000 Tl
2.695 0.000 0.000 Tl
0.000 0.000 0.000 P
2.695 2.695 2.695 N
```

=====

Computed, not measured: crystalline U2PN2 at its relaxed geometry at the GGA-PBEsol level of DFT.

Results
- crystal system = trigonal
- formation energy without anion corrections (eV per atom) = -1.42

The structure in POSCAR format:
```
U2PN2
1.0
3.732 0.000 0.000
-1.866 3.232 0.000
0.000 0.000 6.413
U P N
2 1 2
Cartesian
0.000 2.155 1.784 U
1.866 1.077 4.629 U
0.000 0.000 0.000 P
0.000 2.155 4.009 N
1.866 1.077 2.404 N
```

=====

Computed, not measured: crystalline V3PN at its relaxed geometry at the GGA-PBEsol level of DFT.

Results
- crystal system = orthorhombic
- formation energy without anion corrections (eV per atom) = -1.09

The structure in POSCAR format:
```
V3PN
1.0
1.538 -4.798 0.000
1.538 4.798 0.000
0.000 0.000 7.319
V P N
6 2 2
Cartesian
1.538 4.171 5.489 V
1.538 1.283 4.032 V
1.538 1.283 6.947 V
1.538 -1.283 0.372 V
1.538 -1.283 3.287 V
1.538 -4.171 1.830 V
1.538 2.382 1.830 P
1.538 -2.382 5.489 P
0.000 0.000 0.000 N
0.000 0.000 3.660 N
```

=====

Computed, not measured: crystalline ZrPN3 at its relaxed geometry at the GGA-PBEsol level of DFT.

Results
- crystal system = cubic
- formation energy without anion corrections (eV per atom) = -0.52

The structure in POSCAR format:
```
ZrPN3
1.0
3.522 0.000 0.000
0.000 3.522 0.000
0.000 0.000 3.522
Zr P N
1 1 3
Cartesian
0.000 0.000 0.000 Zr
1.761 1.761 1.761 P
0.000 1.761 1.761 N
1.761 0.000 1.761 N
1.761 1.761 0.000 N
```

=====

Computed, not measured: crystalline PdPbN3 at its relaxed geometry at the GGA-PBEsol level of DFT.

Results
- crystal system = cubic
- formation energy without anion corrections (eV per atom) = 1.49

The structure in POSCAR format:
```
PdPbN3
1.0
4.026 0.000 0.000
0.000 4.026 0.000
0.000 0.000 4.026
Pd Pb N
1 1 3
Cartesian
0.000 0.000 0.000 Pd
2.013 2.013 2.013 Pb
0.000 0.000 2.013 N
0.000 2.013 0.000 N
2.013 0.000 0.000 N
```

=====

Computed, not measured: crystalline PdPbS2N at its relaxed geometry at the GGA-PBEsol level of DFT.

Results
- crystal system = tetragonal
- formation energy without anion corrections (eV per atom) = 0.36

The structure in POSCAR format:
```
PdPbS2N
1.0
4.967 0.000 0.000
0.000 4.967 0.000
0.000 0.000 3.680
Pd Pb S N
1 1 2 1
Cartesian
0.000 0.000 0.000 Pd
2.483 2.483 1.840 Pb
0.000 2.483 0.000 S
2.483 0.000 0.000 S
0.000 0.000 1.840 N
```

=====

Computed, not measured: crystalline PdPbS2N at its relaxed geometry at the GGA-PBEsol level of DFT.

Results
- crystal system = tetragonal
- formation energy without anion corrections (eV per atom) = 1.46

The structure in POSCAR format:
```
PdPbS2N
1.0
5.124 0.000 0.000
0.000 5.124 0.000
0.000 0.000 4.189
Pd Pb S N
1 1 2 1
Cartesian
0.000 0.000 0.000 Pd
2.562 2.562 2.095 Pb
0.000 2.562 2.095 S
2.562 0.000 2.095 S
2.562 2.562 0.000 N
```

=====

Computed, not measured: crystalline PtPbN2 at its relaxed geometry at the GGA-PBEsol level of DFT.

Results
- crystal system = trigonal
- formation energy without anion corrections (eV per atom) = 0.64

The structure in POSCAR format:
```
PtPbN2
1.0
1.610 0.930 6.523
-1.610 0.930 6.523
0.000 -1.860 6.523
Pt Pb N
1 1 2
Cartesian
0.000 0.000 0.000 Pt
0.000 0.000 9.784 Pb
0.000 0.000 7.422 N
0.000 0.000 12.146 N
```

=====

Computed, not measured: crystalline PtPbSe2N at its relaxed geometry at the GGA-PBEsol level of DFT.

Results
- crystal system = tetragonal
- formation energy without anion corrections (eV per atom) = 0.19

The structure in POSCAR format:
```
PtPbSe2N
1.0
5.277 0.000 0.000
0.000 5.277 0.000
0.000 0.000 3.668
Pt Pb Se N
1 1 2 1
Cartesian
0.000 0.000 0.000 Pt
2.638 2.638 1.834 Pb
0.000 2.638 0.000 Se
2.638 0.000 0.000 Se
0.000 0.000 1.834 N
```

=====

Computed, not measured: crystalline RbPbN2 at its relaxed geometry at the GGA-PBEsol level of DFT.

Results
- crystal system = trigonal
- formation energy without anion corrections (eV per atom) = 1.03

The structure in POSCAR format:
```
RbPbN2
1.0
1.764 1.018 7.482
-1.764 1.018 7.482
0.000 -2.037 7.482
Rb Pb N
1 1 2
Cartesian
0.000 0.000 0.000 Rb
0.000 0.000 11.223 Pb
0.000 0.000 2.608 N
0.000 0.000 19.838 N
```

=====

Computed, not measured: crystalline RePbN2 at its relaxed geometry at the GGA-PBEsol level of DFT.

Results
- crystal system = trigonal
- formation energy without anion corrections (eV per atom) = 0.94

The structure in POSCAR format:
```
RePbN2
1.0
1.618 0.934 6.560
-1.618 0.934 6.560
0.000 -1.869 6.560
Re Pb N
1 1 2
Cartesian
0.000 0.000 0.000 Re
0.000 0.000 9.840 Pb
0.000 0.000 1.862 N
0.000 0.000 17.819 N
```

=====

Computed, not measured: crystalline RePbSeN2 at its relaxed geometry at the GGA-PBEsol level of DFT.

Results
- crystal system = tetragonal
- formation energy without anion corrections (eV per atom) = 2.49

The structure in POSCAR format:
```
RePbSeN2
1.0
4.131 0.000 0.000
0.000 4.131 0.000
0.000 0.000 5.668
Re Pb Se N
1 1 1 2
Cartesian
0.000 0.000 0.000 Re
2.066 2.066 2.834 Pb
2.066 2.066 0.000 Se
0.000 2.066 2.834 N
2.066 0.000 2.834 N
```

=====

Computed, not measured: crystalline ReTe2PbN at its relaxed geometry at the GGA-PBEsol level of DFT.

Results
- crystal system = tetragonal
- formation energy without anion corrections (eV per atom) = 0.16

The structure in POSCAR format:
```
ReTe2PbN
1.0
5.494 0.000 0.000
0.000 5.494 0.000
0.000 0.000 3.750
Re Te Pb N
1 2 1 1
Cartesian
0.000 0.000 0.000 Re
0.000 2.747 0.000 Te
2.747 0.000 0.000 Te
2.747 2.747 1.875 Pb
0.000 0.000 1.875 N
```

=====

Computed, not measured: crystalline RhPb3N at its relaxed geometry at the GGA-PBEsol level of DFT.

Results
- crystal system = cubic
- formation energy without anion corrections (eV per atom) = 0.77

The structure in POSCAR format:
```
RhPb3N
1.0
4.743 0.000 0.000
0.000 4.743 0.000
0.000 0.000 4.743
Rh Pb N
1 3 1
Cartesian
0.000 0.000 0.000 Rh
0.000 2.372 2.372 Pb
2.372 0.000 2.372 Pb
2.372 2.372 0.000 Pb
2.372 2.372 2.372 N
```